Record 1
! MnTlS2 PBE relaxed; values from VASP
&SYSTEM
  ibrav = 0, nat = 4, ntyp = 3
/
ATOMIC_SPECIES
S 32.06 S.upf
Mn 54.94 Mn.upf
Tl 204.38 Tl.upf
CELL_PARAMETERS angstrom
0.0000 3.2454 3.2454
3.2454 0.0000 3.2454
3.2454 3.2454 0.0000
ATOMIC_POSITIONS crystal
S 0.7500 0.7500 0.7500
S 0.2500 0.2500 0.2500
Mn 0.0000 0.0000 0.0000
Tl 0.5000 0.5000 0.5000
! Formation energy (no corrections) in eV/f.u.: 2.6



Record 2
! Mn2TlS3 PBE relaxed; values from VASP
&SYSTEM
  ibrav = 0, nat = 12, ntyp = 3
/
ATOMIC_SPECIES
Mn 54.94 Mn.upf
S 32.06 S.upf
Tl 204.38 Tl.upf
CELL_PARAMETERS angstrom
-1.1274 0.7745 3.4846
-1.8233 -6.8550 0.9338
11.6480 2.0752 1.2965
ATOMIC_POSITIONS crystal
Mn 0.9388 0.9273 0.8777
Mn 0.7221 0.3649 0.4442
Mn 0.0612 0.0727 0.1223
Mn 0.2779 0.6351 0.5558
S 0.6233 0.1250 0.2465
S 0.2656 0.3133 0.5312
S 0.9949 0.7407 0.9899
S 0.3767 0.8750 0.7535
S 0.7344 0.6867 0.4688
S 0.0051 0.2593 0.0101
Tl 0.5883 0.6416 0.1766
Tl 0.4117 0.3584 0.8234
! Formation energy (no corrections) in eV/f.u.: -2.5



Record 3
! MnTlS4 PBE relaxed; values from VASP
&SYSTEM
  ibrav = 0, nat = 12, ntyp = 3
/
ATOMIC_SPECIES
Mn 54.94 Mn.upf
S 32.06 S.upf
Tl 204.38 Tl.upf
CELL_PARAMETERS angstrom
-5.9942 -0.0901 3.4329
-0.1360 -7.0788 2.7110
6.0646 5.4062 2.1329
ATOMIC_POSITIONS crystal
Mn 0.8269 0.9209 0.0338
Mn 0.1731 0.0791 0.9662
S 0.8370 0.2010 0.7977
S 0.4974 0.7535 0.7155
S 0.1629 0.7990 0.2023
S 0.0863 0.7430 0.9053
S 0.7512 0.0436 0.3091
S 0.2487 0.9564 0.6909
S 0.5026 0.2465 0.2845
S 0.9136 0.2570 0.0947
Tl 0.6881 0.7152 0.4206
Tl 0.3118 0.2848 0.5794
! Formation energy (no corrections) in eV/f.u.: -1.6
! E above lowest polymorph in eV per formula unit: 0.00



Record 4
! MnTlS2 PBE relaxed; values from VASP
&SYSTEM
  ibrav = 0, nat = 8, ntyp = 3
/
ATOMIC_SPECIES
Tl 204.38 Tl.upf
S 32.06 S.upf
Mn 54.94 Mn.upf
CELL_PARAMETERS angstrom
-4.8945 1.0579 -1.4741
-1.4838 -5.2612 -3.7913
0.7527 -0.3561 7.2699
ATOMIC_POSITIONS crystal
Tl 0.7594 0.6697 0.5352
Tl 0.2613 0.2296 0.8141
S 0.4055 0.7281 0.8796
S 0.6155 0.1711 0.4697
S 0.1135 0.7276 0.2467
S 0.9075 0.1716 0.1027
Mn 0.2604 0.9541 0.1768
Mn 0.7606 0.9452 0.1726
! Formation energy (no corrections) in eV/f.u.: -1.9



Record 5
! MnTlS2 PBE relaxed; values from VASP
&SYSTEM
  ibrav = 0, nat = 16, ntyp = 3
/
ATOMIC_SPECIES
Mn 54.94 Mn.upf
Tl 204.38 Tl.upf
S 32.06 S.upf
CELL_PARAMETERS angstrom
15.7699 0.0000 0.9173
0.0000 4.2875 0.0000
-5.4421 0.0000 6.1658
ATOMIC_POSITIONS crystal
Mn 0.9613 0.2500 0.8076
Mn 0.5387 0.7500 0.6924
Mn 0.0387 0.7500 0.1924
Mn 0.4613 0.2500 0.3076
Tl 0.3576 0.7500 0.7184
Tl 0.8576 0.7500 0.2184
Tl 0.6424 0.2500 0.2816
Tl 0.1424 0.2500 0.7816
S 0.5886 0.2500 0.6673
S 0.4114 0.7500 0.3327
S 0.8707 0.2500 0.4636
S 0.0886 0.2500 0.1673
S 0.3707 0.2500 0.9636
S 0.1293 0.7500 0.5364
S 0.9114 0.7500 0.8327
S 0.6293 0.7500 0.0364
! Formation energy (no corrections) in eV/f.u.: -1.5



Record 6
! Mn2TlS PBE relaxed; values from VASP
&SYSTEM
  ibrav = 0, nat = 4, ntyp = 3
/
ATOMIC_SPECIES
Tl 204.38 Tl.upf
Mn 54.94 Mn.upf
S 32.06 S.upf
CELL_PARAMETERS angstrom
0.0000 3.0653 3.0653
3.0653 0.0000 3.0653
3.0653 3.0653 0.0000
ATOMIC_POSITIONS crystal
Tl 0.5000 0.5000 0.5000
Mn 0.7500 0.7500 0.7500
Mn 0.2500 0.2500 0.2500
S 0.0000 0.0000 0.0000
! Formation energy (no corrections) in eV/f.u.: 3.6
! E above lowest polymorph in eV per formula unit: 2.82



Record 7
! MnTlS3 PBE relaxed; values from VASP
&SYSTEM
  ibrav = 0, nat = 5, ntyp = 3
/
ATOMIC_SPECIES
Mn 54.94 Mn.upf
S 32.06 S.upf
Tl 204.38 Tl.upf
CELL_PARAMETERS angstrom
-4.5252 -1.1906 -1.8991
1.9427 0.0506 -4.6610
1.1179 -4.9073 0.4127
ATOMIC_POSITIONS crystal
Mn 0.5000 0.5000 0.5000
S 0.0000 0.0000 0.5000
S 0.5000 0.0000 0.0000
S 0.0000 0.5000 0.0000
Tl 0.0000 0.0000 0.0000
! Formation energy (no corrections) in eV/f.u.: 4.3
! E above lowest polymorph in eV per formula unit: 5.85



Record 8
! MnTlS2 PBE relaxed; values from VASP
&SYSTEM
  ibrav = 0, nat = 16, ntyp = 3
/
ATOMIC_SPECIES
Tl 204.38 Tl.upf
S 32.06 S.upf
Mn 54.94 Mn.upf
CELL_PARAMETERS angstrom
6.5109 0.0000 0.0000
0.0000 9.4261 0.0000
0.0000 0.0000 6.2101
ATOMIC_POSITIONS crystal
Tl 0.4871 0.8824 0.5386
Tl 0.5129 0.1176 0.0386
Tl 0.9871 0.6176 0.5386
Tl 0.0129 0.3824 0.0386
S 0.9896 0.0628 0.1583
S 0.3419 0.7962 0.0686
S 0.8419 0.7038 0.0686
S 0.5104 0.5628 0.6583
S 0.0104 0.9372 0.6583
S 0.1581 0.2962 0.5686
S 0.6581 0.2038 0.5686
S 0.4896 0.4372 0.1583
Mn 0.5437 0.6267 0.9843
Mn 0.9563 0.1267 0.4843
Mn 0.4563 0.3733 0.4843
Mn 0.0437 0.8733 0.9843
! Formation energy (no corrections) in eV/f.u.: -1.3



Record 9
! MnTl3S4 PBE relaxed; values from VASP
&SYSTEM
  ibrav = 0, nat = 32, ntyp = 3
/
ATOMIC_SPECIES
Tl 204.38 Tl.upf
S 32.06 S.upf
Mn 54.94 Mn.upf
CELL_PARAMETERS angstrom
9.0113 0.0000 0.0000
0.0000 9.2312 0.0000
0.0000 0.0000 11.0365
ATOMIC_POSITIONS crystal
Tl 0.9193 0.6975 0.4437
Tl 0.5807 0.1975 0.9437
Tl 0.0807 0.3025 0.9437
Tl 0.4193 0.8025 0.4437
Tl 0.4193 0.8025 0.0563
Tl 0.9059 0.8997 0.7500
Tl 0.4059 0.6003 0.7500
Tl 0.0941 0.1003 0.2500
Tl 0.0807 0.3025 0.5563
Tl 0.9193 0.6975 0.0563
Tl 0.5807 0.1975 0.5563
Tl 0.5941 0.3997 0.2500
S 0.6833 0.7444 0.2500
S 0.3341 0.4717 0.0933
S 0.1833 0.7556 0.2500
S 0.3341 0.4717 0.4067
S 0.6659 0.5283 0.9067
S 0.1659 0.9717 0.9067
S 0.6659 0.5283 0.5933
S 0.4969 0.9262 0.7500
S 0.3167 0.2556 0.7500
S 0.0031 0.4262 0.2500
S 0.8341 0.0283 0.4067
S 0.9969 0.5738 0.7500
S 0.8341 0.0283 0.0933
S 0.1659 0.9717 0.5933
S 0.8167 0.2444 0.7500
S 0.5031 0.0738 0.2500
Mn 0.7875 0.4739 0.7500
Mn 0.2125 0.5261 0.2500
Mn 0.2875 0.0261 0.7500
Mn 0.7125 0.9739 0.2500
! Formation energy (no corrections) in eV/f.u.: -3.1



Record 10
! MnTlS2 PBE relaxed; values from VASP
&SYSTEM
  ibrav = 0, nat = 8, ntyp = 3
/
ATOMIC_SPECIES
Tl 204.38 Tl.upf
S 32.06 S.upf
Mn 54.94 Mn.upf
CELL_PARAMETERS angstrom
-5.5702 4.6330 -3.6474
-0.3891 -1.7536 5.7277
-1.3652 6.8293 0.6586
ATOMIC_POSITIONS crystal
Tl 0.9480 0.9159 0.0104
Tl 0.3204 0.2520 0.3503
S 0.7848 0.2281 0.8108
S 0.2133 0.4533 0.1037
S 0.4932 0.9531 0.5416
S 0.8479 0.7240 0.4659
Mn 0.5559 0.8342 0.7589
Mn 0.8174 0.3366 0.4985
! Formation energy (no corrections) in eV/f.u.: -1.7



Record 11
! MnTlS3 PBE relaxed; values from VASP
&SYSTEM
  ibrav = 0, nat = 5, ntyp = 3
/
ATOMIC_SPECIES
S 32.06 S.upf
Mn 54.94 Mn.upf
Tl 204.38 Tl.upf
CELL_PARAMETERS angstrom
4.5665 0.0000 0.0000
0.0000 4.5665 0.0000
0.0000 0.0000 4.5665
ATOMIC_POSITIONS crystal
S 0.0000 0.0000 0.5000
S 0.0000 0.5000 0.0000
S 0.5000 0.0000 0.0000
Mn 0.0000 0.0000 0.0000
Tl 0.5000 0.5000 0.5000
! Formation energy (no corrections) in eV/f.u.: 0.5
! E above lowest polymorph in eV per formula unit: 2.00



Record 12
! MnTl3S3 PBE relaxed; values from VASP
&SYSTEM
  ibrav = 0, nat = 28, ntyp = 3
/
ATOMIC_SPECIES
Tl 204.38 Tl.upf
Mn 54.94 Mn.upf
S 32.06 S.upf
CELL_PARAMETERS angstrom
-7.2821 2.5986 -0.1046
-0.8237 -6.8288 3.9030
2.0673 6.2508 11.3730
ATOMIC_POSITIONS crystal
Tl 0.2130 0.6306 0.0903
Tl 0.8946 0.4878 0.6448
Tl 0.1054 0.5122 0.3552
Tl 0.3946 0.9878 0.8552
Tl 0.2870 0.8694 0.5903
Tl 0.3667 0.4555 0.8396
Tl 0.6333 0.5445 0.1604
Tl 0.1333 0.0445 0.3396
Tl 0.7870 0.3694 0.9097
Tl 0.6054 0.0122 0.1448
Tl 0.7130 0.1306 0.4097
Tl 0.8667 0.9555 0.6604
Mn 0.5922 0.6593 0.4482
Mn 0.0922 0.1593 0.0518
Mn 0.9078 0.8407 0.9482
Mn 0.4078 0.3407 0.5518
S 0.9755 0.8923 0.1173
S 0.1136 0.2498 0.5444
S 0.4107 0.8281 0.3805
S 0.8864 0.7502 0.4556
S 0.6136 0.7498 0.9556
S 0.0245 0.1077 0.8827
S 0.0893 0.6719 0.8805
S 0.9107 0.3281 0.1195
S 0.5893 0.1719 0.6195
S 0.4755 0.3923 0.3827
S 0.5245 0.6077 0.6173
S 0.3864 0.2502 0.0444
! Formation energy (no corrections) in eV/f.u.: -2.7



Record 13
! MnTlS2 PBE relaxed; values from VASP
&SYSTEM
  ibrav = 0, nat = 8, ntyp = 3
/
ATOMIC_SPECIES
S 32.06 S.upf
Tl 204.38 Tl.upf
Mn 54.94 Mn.upf
CELL_PARAMETERS angstrom
-3.2716 4.5193 -0.2617
-2.5477 -2.1050 -4.5026
-6.5928 -1.2715 0.8607
ATOMIC_POSITIONS crystal
S 0.2786 0.2786 0.4429
S 0.4714 0.9714 0.0571
S 0.7214 0.7214 0.5571
S 0.0286 0.5286 0.9429
Tl 0.0000 0.0000 0.0000
Tl 0.7500 0.2500 0.5000
Mn 0.2500 0.7500 0.5000
Mn 0.5000 0.5000 0.0000
! Formation energy (no corrections) in eV/f.u.: -1.2



Record 14
! MnTlS2 PBE relaxed; values from VASP
&SYSTEM
  ibrav = 0, nat = 8, ntyp = 3
/
ATOMIC_SPECIES
S 32.06 S.upf
Mn 54.94 Mn.upf
Tl 204.38 Tl.upf
CELL_PARAMETERS angstrom
13.6832 0.0000 -1.3027
3.8838 4.6853 -1.8354
-3.8838 4.6853 1.8354
ATOMIC_POSITIONS crystal
S 0.8824 0.8057 0.5677
S 0.6275 0.5513 0.5655
S 0.1275 0.9345 0.9487
S 0.3824 0.9323 0.6943
Mn 0.7534 0.3080 0.4416
Mn 0.2534 0.0584 0.1920
Tl 0.7540 0.8034 0.9428
Tl 0.2540 0.5572 0.6966
! Formation energy (no corrections) in eV/f.u.: -1.3



Record 15
! Tm2MnTl3S6 PBE relaxed; values from VASP
&SYSTEM
  ibrav = 0, nat = 12, ntyp = 4
/
ATOMIC_SPECIES
S 32.06 S.upf
Tl 204.38 Tl.upf
Mn 54.94 Mn.upf
Tm 168.93 Tm.upf
CELL_PARAMETERS angstrom
6.6517 0.0906 -0.0332
-3.2457 5.8068 -0.0332
-1.1722 -2.0297 7.5182
ATOMIC_POSITIONS crystal
S 0.0617 0.3652 0.1804
S 0.2604 0.2604 0.7888
S 0.6348 0.9383 0.8196
S 0.7396 0.7396 0.2112
S 0.9383 0.6348 0.8196
S 0.3652 0.0617 0.1804
Tl 0.8276 0.1724 0.5000
Tl 0.1724 0.8276 0.5000
Tl 0.5000 0.5000 0.5000
Mn 0.0000 0.0000 0.0000
Tm 0.3355 0.6645 0.0000
Tm 0.6645 0.3355 0.0000
! Formation energy (no corrections) in eV/f.u.: -13.3



Record 16
! TmMn2Tl3S6 PBE relaxed; values from VASP
&SYSTEM
  ibrav = 0, nat = 12, ntyp = 4
/
ATOMIC_SPECIES
S 32.06 S.upf
Mn 54.94 Mn.upf
Tl 204.38 Tl.upf
Tm 168.93 Tm.upf
CELL_PARAMETERS angstrom
6.4507 0.0103 0.0071
-3.2148 5.5925 0.0071
-1.0734 -1.8586 7.5038
ATOMIC_POSITIONS crystal
S 0.0597 0.4212 0.1840
S 0.5788 0.9403 0.8160
S 0.4212 0.0597 0.1840
S 0.9403 0.5788 0.8160
S 0.6984 0.6984 0.1790
S 0.3016 0.3016 0.8210
Mn 0.6666 0.3334 0.0000
Mn 0.3334 0.6666 0.0000
Tl 0.5000 0.5000 0.5000
Tl 0.1608 0.8392 0.5000
Tl 0.8392 0.1608 0.5000
Tm 0.0000 0.0000 0.0000
! Formation energy (no corrections) in eV/f.u.: -9.3



Record 17
! TmMnTl2S4 PBE relaxed; values from VASP
&SYSTEM
  ibrav = 0, nat = 16, ntyp = 4
/
ATOMIC_SPECIES
Tm 168.93 Tm.upf
S 32.06 S.upf
Mn 54.94 Mn.upf
Tl 204.38 Tl.upf
CELL_PARAMETERS angstrom
-2.3683 4.1819 -6.5041
5.2501 -4.1208 -4.5668
-5.4574 -3.9619 4.4809
ATOMIC_POSITIONS crystal
Tm 0.0000 0.5000 0.5000
Tm 0.0000 0.5000 0.0000
S 0.2435 0.6988 0.4712
S 0.2374 0.2630 0.0445
S 0.7565 0.3012 0.5288
S 0.8012 0.2565 0.0288
S 0.2370 0.2626 0.4555
S 0.7626 0.7370 0.9555
S 0.7630 0.7374 0.5445
S 0.1988 0.7435 0.9712
Mn 0.5000 0.5000 0.5000
Mn 0.0000 0.0000 0.0000
Tl 0.5000 0.5000 0.0000
Tl 0.5000 0.0000 0.0000
Tl 0.5000 0.0000 0.5000
Tl 0.0000 0.0000 0.5000
! Formation energy (no corrections) in eV/f.u.: -6.9



Record 18
! UMnTlS3 PBE relaxed; values from VASP
&SYSTEM
  ibrav = 0, nat = 12, ntyp = 4
/
ATOMIC_SPECIES
S 32.06 S.upf
Tl 204.38 Tl.upf
U 238.03 U.upf
Mn 54.94 Mn.upf
CELL_PARAMETERS angstrom
-1.3852 -3.6925 0.0963
8.1702 -3.0269 1.4588
-3.8955 1.6749 8.1904
ATOMIC_POSITIONS crystal
S 0.7500 0.1921 0.5434
S 0.7500 0.8751 0.1347
S 0.7500 0.4584 0.1552
S 0.2500 0.8079 0.4566
S 0.2500 0.1249 0.8653
S 0.2500 0.5416 0.8448
Tl 0.7500 0.8032 0.7656
Tl 0.2500 0.1968 0.2344
U 0.7500 0.3282 0.8460
U 0.2500 0.6718 0.1540
Mn 0.2500 0.0749 0.5992
Mn 0.7500 0.9251 0.4008
! Formation energy (no corrections) in eV/f.u.: -5.2



Record 19
! UMn2Tl2S4 PBE relaxed; values from VASP
&SYSTEM
  ibrav = 0, nat = 9, ntyp = 4
/
ATOMIC_SPECIES
U 238.03 U.upf
Tl 204.38 Tl.upf
S 32.06 S.upf
Mn 54.94 Mn.upf
CELL_PARAMETERS angstrom
3.8862 0.0000 0.0000
0.0000 7.6873 0.4568
-1.9431 -2.6881 6.8143
ATOMIC_POSITIONS crystal
U 0.0000 0.0000 0.0000
Tl 0.1410 0.5699 0.2819
Tl 0.8590 0.4301 0.7181
S 0.8079 0.8489 0.6158
S 0.4862 0.2373 0.9724
S 0.5138 0.7627 0.0276
S 0.1921 0.1511 0.3842
Mn 0.6720 0.9583 0.3441
Mn 0.3280 0.0417 0.6559
! Formation energy (no corrections) in eV/f.u.: -6.4



Record 20
! UMn2Tl2S6 PBE relaxed; values from VASP
&SYSTEM
  ibrav = 0, nat = 11, ntyp = 4
/
ATOMIC_SPECIES
S 32.06 S.upf
Mn 54.94 Mn.upf
Tl 204.38 Tl.upf
U 238.03 U.upf
CELL_PARAMETERS angstrom
5.8128 0.0354 0.1532
-2.8423 5.0707 0.1532
-0.9250 -1.5900 7.8861
ATOMIC_POSITIONS crystal
S 0.3168 0.3168 0.3072
S 0.5835 0.9562 0.3306
S 0.4165 0.0438 0.6694
S 0.0438 0.4165 0.6694
S 0.9562 0.5835 0.3306
S 0.6832 0.6832 0.6928
Mn 0.3575 0.6425 0.5000
Mn 0.6425 0.3575 0.5000
Tl 0.8365 0.1635 0.0000
Tl 0.1635 0.8365 0.0000
U 0.0000 0.0000 0.5000
! Formation energy (no corrections) in eV/f.u.: -7.4



| no. | uncorrected energy (eV per atom) | ρ (g/cm³) |
| --- | --- | --- |
| 1 | -4.307 | 7.9 |
| 2 | -5.929 | 4.7 |
| 3 | -4.945 | 4.0 |
| 4 | -5.426 | 5.5 |
| 5 | -5.322 | 4.9 |
| 6 | -5.303 | 10.0 |
| 7 | -3.920 | 4.6 |
| 8 | -5.261 | 5.6 |
| 9 | -4.488 | 5.8 |
| 10 | -5.375 | 5.2 |
| 11 | -4.690 | 6.2 |
| 12 | -4.480 | 6.4 |
| 13 | -5.239 | 6.3 |
| 14 | -5.269 | 5.7 |
| 15 | -5.275 | 6.8 |
| 16 | -5.331 | 6.6 |
| 17 | -5.222 | 6.8 |
| 18 | -6.732 | 6.4 |
| 19 | -6.359 | 7.1 |
| 20 | -6.051 | 6.7 |